1.
Material: Os8W
Method: DFT, PBE
State: relaxed

Summary:
**Calculated total energy**: -11.307 eV/atom
**Formation enthalpy at 0 K**: 100 kJ/mol of formula units
**Symmetry**: I4/mmm, No. 139
**Size of the total moment**: 0.000 Bohr magnetons per cell

a = 6.134 Å, b = 6.134 Å, c = 6.134 Å
α = 95.69°, β = 95.69°, γ = 143.30°
Element x y z (fractional)
Os  0.000  0.334  0.334
Os  0.000  0.666  0.666
Os  0.331  0.331  0.663
Os  0.331  0.669  0.000
Os  0.334  0.000  0.334
Os  0.666  0.000  0.666
Os  0.669  0.331  0.000
Os  0.669  0.669  0.337
W  0.000  0.000  0.000

2.
Material: OsW5
Method: DFT, PBE
State: relaxed

Summary:
**Calculated total energy**: -11.779 eV/atom
**Formation enthalpy at 0 K**: 514 kJ/mol of formula units
**Symmetry**: P6/mmm, No. 191
**Size of the total moment**: 0.000 Bohr magnetons per cell
**Offset from the most stable computed form**: 771 meV per atom

a = 5.163 Å, b = 5.163 Å, c = 4.550 Å
α = 90.00°, β = 90.00°, γ = 120.00°
Element x y z (fractional)
Os  0.000  0.000  0.000
W  0.000  0.500  0.500
W  0.333  0.667  0.000
W  0.500  0.000  0.500
W  0.500  0.500  0.500
W  0.667  0.333  0.000

3.
Material: OsW
Method: DFT, PBE
State: relaxed

Summary:
**Calculated total energy**: -11.137 eV/atom
**Formation enthalpy at 0 K**: 184 kJ/mol of formula units
**Symmetry**: P6_3/mmc, No. 194
**Size of the total moment**: 0.000 Bohr magnetons per cell

a = 3.879 Å, b = 3.879 Å, c = 5.510 Å
α = 90.00°, β = 90.00°, γ = 120.00°
Element x y z (fractional)
Os  0.333  0.667  0.250
Os  0.667  0.333  0.750
W  0.000  0.000  0.000
W  0.000  0.000  0.500

4.
Material: OsW3
Method: DFT, PBE
State: relaxed

Summary:
**Calculated total energy**: -12.337 eV/atom
**Formation enthalpy at 0 K**: 71 kJ/mol of formula units
**Symmetry**: P4/mmm, No. 123
**Size of the total moment**: 0.000 Bohr magnetons per cell

a = 4.478 Å, b = 4.478 Å, c = 3.144 Å
α = 90.00°, β = 90.00°, γ = 90.00°
Element x y z (fractional)
Os  0.000  0.000  0.000
W  0.000  0.500  0.500
W  0.500  0.000  0.500
W  0.500  0.500  0.000

5.
Material: Os2W3
Method: DFT, PBE
State: relaxed

Summary:
**Calculated total energy**: -12.060 eV/atom
**Formation enthalpy at 0 K**: 98 kJ/mol of formula units
**Symmetry**: Fdd2, No. 43
**Size of the total moment**: 0.000 Bohr magnetons per cell
**Offset from the most stable computed form**: 0 meV per atom

a = 7.132 Å, b = 5.336 Å, c = 8.185 Å
α = 59.29°, β = 40.04°, γ = 80.67°
Element x y z (fractional)
Os  0.023  0.477  0.079
Os  0.171  0.829  0.227
Os  0.477  0.023  0.421
Os  0.829  0.171  0.773
W  0.055  0.055  0.945
W  0.305  0.305  0.195
W  0.493  0.587  0.301
W  0.587  0.493  0.620
W  0.630  0.949  0.663
W  0.949  0.630  0.757

6.
Material: OsW
Method: DFT, PBE
State: relaxed

Summary:
**Calculated total energy**: -10.208 eV/atom
**Formation enthalpy at 0 K**: 364 kJ/mol of formula units
**Symmetry**: I-43m, No. 217
**Size of the total moment**: 0.000 Bohr magnetons per cell

a = 6.806 Å, b = 6.806 Å, c = 6.806 Å
α = 109.47°, β = 109.47°, γ = 109.47°
Element x y z (fractional)
Os  0.000  0.000  0.348
Os  0.000  0.348  0.000
Os  0.348  0.000  0.000
Os  0.652  0.652  0.652
W  0.000  0.000  0.731
W  0.000  0.731  0.000
W  0.269  0.269  0.269
W  0.731  0.000  0.000

7.
Material: Os5W3
Method: DFT, PBE
State: relaxed

Summary:
**Calculated total energy**: -11.814 eV/atom
**Formation enthalpy at 0 K**: 48 kJ/mol of formula units
**Symmetry**: Cmmm, No. 65
**Size of the total moment**: 0.000 Bohr magnetons per cell
**Offset from the most stable computed form**: 0 meV per atom

a = 5.555 Å, b = 5.555 Å, c = 3.897 Å
α = 90.00°, β = 90.00°, γ = 90.59°
Element x y z (fractional)
Os  0.000  0.000  0.000
Os  0.000  0.500  0.000
Os  0.249  0.249  0.500
Os  0.500  0.000  0.000
Os  0.751  0.751  0.500
W  0.241  0.759  0.500
W  0.500  0.500  0.000
W  0.759  0.241  0.500

8.
Material: OsW3
Method: DFT, PBE
State: relaxed

Summary:
**Calculated total energy**: -12.364 eV/atom
**Formation enthalpy at 0 K**: 61 kJ/mol of formula units
**Symmetry**: P2/m, No. 10
**Size of the total moment**: 0.000 Bohr magnetons per cell

a = 2.763 Å, b = 4.439 Å, c = 5.230 Å
α = 90.00°, β = 100.72°, γ = 90.00°
Element x y z (fractional)
Os  0.000  0.000  0.000
W  0.270  0.500  0.750
W  0.500  0.000  0.500
W  0.730  0.500  0.250